# ZnCrPbF6, relaxed, DFT GGA+U
# - N(E_F) (states/eV per cell) = 11.58
# - DFT total energy (eV per atom) = -4.98
data_ZnCrPbF6
_cell_length_a 5.5331
_cell_length_b 5.5331
_cell_length_c 10.5560
_cell_angle_alpha 90.00
_cell_angle_beta 90.00
_cell_angle_gamma 120.00
_symmetry_space_group_name_H-M 'P -3 1 c'
_symmetry_Int_Tables_number 163
_symmetry_space_group_name_Hall '-P 3 2c'
loop_
_atom_site_label
_atom_site_type_symbol
_atom_site_fract_x
_atom_site_fract_y
_atom_site_fract_z
Zn1 Zn 0.3333 0.6667 0.2500
Cr1 Cr 0.3333 0.6667 0.7500
Pb1 Pb 0.0000 0.0000 0.0000
F1 F 0.0060 0.3648 0.1432